Material: CoSi3I
Method: DFT, SCAN
State: PBEsol geometry

a = 5.155 Å, b = 5.155 Å, c = 5.155 Å
α = 90.00°, β = 90.00°, γ = 90.00°
Atoms (fractional coordinates):
Co 0.000 0.000 0.000
Si 0.000 0.500 0.500
Si 0.500 0.000 0.500
Si 0.500 0.500 0.000
I 0.500 0.500 0.500

Output
size of the total moment: 2.16 Bohr magnetons per cell
N(E_F): 0.51 states/eV per atom
symmetry: Pm-3m (221)
crystal system: cubic
final energy: -72.90 eV for the cell shown
formation energy (no corrections): 2238 meV/atom

Material: SrCo3I
Method: DFT, SCAN
State: PBEsol geometry

a = 4.643 Å, b = 4.643 Å, c = 4.643 Å
α = 90.00°, β = 90.00°, γ = 90.00°
Atoms (fractional coordinates):
Sr 0.000 0.000 0.000
Co 0.000 0.500 0.500
Co 0.500 0.000 0.500
Co 0.500 0.500 0.000
I 0.500 0.500 0.500

Output
size of the total moment: 2.40 Bohr magnetons per cell
N(E_F): 0.50 states/eV per atom
symmetry: Pm-3m (221)
crystal system: cubic
final energy: -106.15 eV for the cell shown
formation energy (no corrections): 957 meV/atom

Material: SrTaCo2I
Method: DFT, SCAN
State: PBEsol geometry

a = 4.573 Å, b = 4.573 Å, c = 5.500 Å
α = 90.00°, β = 90.00°, γ = 90.00°
Atoms (fractional coordinates):
Sr 0.000 0.000 0.000
Ta 0.500 0.500 0.500
Co 0.000 0.500 0.500
Co 0.500 0.000 0.500
I 0.500 0.500 0.000

Output
size of the total moment: 1.79 Bohr magnetons per cell
N(E_F): 0.66 states/eV per atom
symmetry: P4/mmm (123)
crystal system: tetragonal
final energy: -156.91 eV for the cell shown
formation energy (no corrections): 659 meV/atom

Material: Ta3CoI
Method: DFT, SCAN
State: PBEsol geometry

a = 4.620 Å, b = 4.620 Å, c = 4.620 Å
α = 90.00°, β = 90.00°, γ = 90.00°
Atoms (fractional coordinates):
Ta 0.000 0.000 0.500
Ta 0.000 0.500 0.000
Ta 0.500 0.000 0.000
Co 0.000 0.000 0.000
I 0.500 0.500 0.500

Output
size of the total moment: 0.00 Bohr magnetons per cell
N(E_F): 1.08 states/eV per atom
symmetry: Pm-3m (221)
crystal system: cubic
final energy: -248.21 eV for the cell shown
formation energy (no corrections): 1118 meV/atom

Material: TaCoI3
Method: DFT, SCAN
State: PBEsol geometry

a = 5.007 Å, b = 5.007 Å, c = 5.007 Å
α = 90.00°, β = 90.00°, γ = 90.00°
Atoms (fractional coordinates):
Ta 0.000 0.000 0.000
Co 0.500 0.500 0.500
I 0.000 0.500 0.500
I 0.500 0.000 0.500
I 0.500 0.500 0.000

Output
size of the total moment: 1.67 Bohr magnetons per cell
N(E_F): 0.58 states/eV per atom
symmetry: Pm-3m (221)
crystal system: cubic
final energy: -188.56 eV for the cell shown
formation energy (no corrections): 1111 meV/atom

Material: Tb2Co2I
Method: DFT, SCAN
State: PBEsol geometry

a = 3.871 Å, b = 3.871 Å, c = 16.697 Å
α = 90.00°, β = 90.00°, γ = 120.00°
Atoms (fractional coordinates):
Tb 0.000 0.000 0.105
Tb 0.000 0.000 0.395
Tb 0.000 0.000 0.605
Tb 0.000 0.000 0.895
Co 0.333 0.667 0.001
Co 0.333 0.667 0.499
Co 0.667 0.333 0.501
Co 0.667 0.333 0.999
I 0.333 0.667 0.750
I 0.667 0.333 0.250

Output
size of the total moment: 1.32 Bohr magnetons per cell
N(E_F): 0.96 states/eV per atom
symmetry: P6_3/mmc (194)
crystal system: hexagonal
final energy: -335.41 eV for the cell shown
formation energy (no corrections): -566 meV/atom

Material: CoTc2I
Method: DFT, SCAN
State: PBEsol geometry

a = 4.335 Å, b = 4.335 Å, c = 4.335 Å
α = 60.00°, β = 60.00°, γ = 60.00°
Atoms (fractional coordinates):
Co 0.000 0.000 0.000
Tc 0.250 0.250 0.250
Tc 0.750 0.750 0.750
I 0.500 0.500 0.500

Output
size of the total moment: 0.00 Bohr magnetons per cell
N(E_F): 0.83 states/eV per atom
symmetry: Fm-3m (225)
crystal system: cubic
final energy: -120.59 eV for the cell shown
formation energy (no corrections): 893 meV/atom

Material: CoTeWI2
Method: DFT, SCAN
State: PBEsol geometry

a = 4.958 Å, b = 4.958 Å, c = 5.002 Å
α = 90.00°, β = 90.00°, γ = 90.00°
Atoms (fractional coordinates):
Co 0.000 0.000 0.000
Te 0.000 0.000 0.500
W 0.500 0.500 0.500
I 0.000 0.500 0.000
I 0.500 0.000 0.000

Output
size of the total moment: 2.32 Bohr magnetons per cell
N(E_F): 0.69 states/eV per atom
symmetry: P4/mmm (123)
crystal system: tetragonal
final energy: -190.72 eV for the cell shown
formation energy (no corrections): 1401 meV/atom

Material: Ti3CoI
Method: DFT, SCAN
State: PBEsol geometry

a = 4.837 Å, b = 4.837 Å, c = 4.837 Å
α = 90.00°, β = 90.00°, γ = 90.00°
Atoms (fractional coordinates):
Ti 0.000 0.000 0.500
Ti 0.000 0.500 0.000
Ti 0.500 0.000 0.000
Co 0.500 0.500 0.500
I 0.000 0.000 0.000

Output
size of the total moment: 0.42 Bohr magnetons per cell
N(E_F): 1.28 states/eV per atom
symmetry: Pm-3m (221)
crystal system: cubic
final energy: -95.45 eV for the cell shown
formation energy (no corrections): 1337 meV/atom

Material: Co2WI2
Method: DFT, SCAN
State: PBEsol geometry

a = 8.595 Å, b = 8.595 Å, c = 8.595 Å
α = 158.12°, β = 158.12°, γ = 31.13°
Atoms (fractional coordinates):
Co 0.250 0.750 0.500
Co 0.750 0.250 0.500
W 0.000 0.000 0.000
I 0.393 0.393 0.000
I 0.607 0.607 0.000

Output
size of the total moment: 2.69 Bohr magnetons per cell
N(E_F): 0.63 states/eV per atom
symmetry: I4/mmm (139)
crystal system: tetragonal
final energy: -171.10 eV for the cell shown
formation energy (no corrections): 1337 meV/atom

Material: YCo2I
Method: DFT, SCAN
State: PBEsol geometry

a = 8.631 Å, b = 8.631 Å, c = 8.631 Å
α = 149.72°, β = 149.72°, γ = 43.35°
Atoms (fractional coordinates):
Y 0.000 0.000 0.000
Y 0.750 0.250 0.500
Co 0.296 0.625 0.171
Co 0.375 0.546 0.671
Co 0.454 0.125 0.829
Co 0.875 0.704 0.329
I 0.250 0.750 0.500
I 0.500 0.500 0.000

Output
size of the total moment: 0.00 Bohr magnetons per cell
N(E_F): 0.47 states/eV per atom
symmetry: I-42d (122)
crystal system: tetragonal
final energy: -194.16 eV for the cell shown
formation energy (no corrections): 528 meV/atom

Material: ZnCoI2
Method: DFT, SCAN
State: PBEsol geometry

a = 5.007 Å, b = 5.007 Å, c = 5.007 Å
α = 60.00°, β = 60.00°, γ = 60.00°
Atoms (fractional coordinates):
Zn 0.000 0.000 0.000
Co 0.500 0.500 0.500
I 0.250 0.250 0.250
I 0.750 0.750 0.750

Output
size of the total moment: 2.70 Bohr magnetons per cell
N(E_F): 0.57 states/eV per atom
symmetry: Fm-3m (225)
crystal system: cubic
final energy: -101.68 eV for the cell shown
formation energy (no corrections): 655 meV/atom

Material: In3Co
Method: DFT, SCAN
State: PBEsol geometry

a = 7.159 Å, b = 8.031 Å, c = 5.291 Å
α = 90.00°, β = 90.00°, γ = 90.00°
Atoms (fractional coordinates):
In 0.016 0.250 0.099
In 0.171 0.055 0.634
In 0.171 0.445 0.634
In 0.329 0.555 0.134
In 0.329 0.945 0.134
In 0.484 0.750 0.599
In 0.516 0.250 0.401
In 0.671 0.055 0.866
In 0.671 0.445 0.866
In 0.829 0.555 0.366
In 0.829 0.945 0.366
In 0.984 0.750 0.901
Co 0.132 0.750 0.435
Co 0.368 0.250 0.935
Co 0.632 0.750 0.065
Co 0.868 0.250 0.565

Output
size of the total moment: 0.00 Bohr magnetons per cell
N(E_F): 0.50 states/eV per atom
symmetry: Pnma (62)
crystal system: orthorhombic
final energy: -468.28 eV for the cell shown
formation energy from the elements: 0.10 eV/atom

Material: In3Co
Method: DFT, SCAN
State: PBEsol geometry

a = 6.529 Å, b = 6.529 Å, c = 3.785 Å
α = 90.00°, β = 90.00°, γ = 90.21°
Atoms (fractional coordinates):
In 0.000 0.500 0.500
In 0.159 0.841 0.000
In 0.345 0.345 0.000
In 0.500 0.000 0.500
In 0.655 0.655 0.000
In 0.841 0.159 0.000
Co 0.139 0.139 0.500
Co 0.861 0.861 0.500

Output
size of the total moment: 0.00 Bohr magnetons per cell
N(E_F): 0.48 states/eV per atom
symmetry: Cmmm (65)
crystal system: orthorhombic
final energy: -234.07 eV for the cell shown
formation energy from the elements: 0.11 eV/atom

Material: InCo2
Method: DFT, SCAN
State: PBEsol geometry

a = 7.137 Å, b = 7.137 Å, c = 7.137 Å
α = 150.60°, β = 150.60°, γ = 42.06°
Atoms (fractional coordinates):
In 0.375 0.625 0.750
In 0.625 0.375 0.250
Co 0.044 0.794 0.250
Co 0.206 0.956 0.250
Co 0.794 0.044 0.750
Co 0.956 0.206 0.750

Output
size of the total moment: 5.21 Bohr magnetons per cell
N(E_F): 0.86 states/eV per atom
symmetry: I4_1/amd (141)
crystal system: tetragonal
final energy: -133.29 eV for the cell shown
formation energy from the elements: 0.45 eV/atom

Material: InCo2
Method: DFT, SCAN
State: PBEsol geometry

a = 5.209 Å, b = 5.209 Å, c = 5.209 Å
α = 147.72°, β = 147.72°, γ = 46.31°
Atoms (fractional coordinates):
In 0.000 0.000 0.000
Co 0.315 0.315 0.000
Co 0.685 0.685 0.000

Output
size of the total moment: 3.46 Bohr magnetons per cell
N(E_F): 0.66 states/eV per atom
symmetry: I4/mmm (139)
crystal system: tetragonal
final energy: -67.41 eV for the cell shown
formation energy from the elements: 0.19 eV/atom

Material: In3Co
Method: DFT, SCAN
State: PBEsol geometry

a = 6.897 Å, b = 6.897 Å, c = 6.897 Å
α = 155.82°, β = 143.18°, γ = 44.54°
Atoms (fractional coordinates):
In 0.000 0.000 0.000
In 0.322 0.822 0.500
In 0.678 0.178 0.500
Co 0.500 0.500 0.000

Output
size of the total moment: 0.05 Bohr magnetons per cell
N(E_F): 0.52 states/eV per atom
symmetry: Immm (71)
crystal system: orthorhombic
final energy: -116.98 eV for the cell shown
formation energy from the elements: 0.12 eV/atom

Material: InCo
Method: DFT, SCAN
State: PBEsol geometry

a = 8.759 Å, b = 8.759 Å, c = 8.759 Å
α = 19.62°, β = 19.62°, γ = 19.62°
Atoms (fractional coordinates):
In 0.113 0.113 0.113
In 0.887 0.887 0.887
Co 0.364 0.364 0.364
Co 0.636 0.636 0.636

Output
size of the total moment: 3.57 Bohr magnetons per cell
N(E_F): 0.67 states/eV per atom
symmetry: R-3m (166)
crystal system: trigonal
final energy: -99.70 eV for the cell shown
formation energy from the elements: 0.42 eV/atom

Material: In4Co
Method: DFT, SCAN
State: PBEsol geometry

a = 5.222 Å, b = 5.222 Å, c = 5.222 Å
α = 109.47°, β = 109.47°, γ = 109.47°
Atoms (fractional coordinates):
In 0.000 0.000 0.500
In 0.000 0.500 0.000
In 0.500 0.000 0.000
In 0.500 0.500 0.500
Co 0.000 0.000 0.000

Output
size of the total moment: 1.23 Bohr magnetons per cell
N(E_F): 0.49 states/eV per atom
symmetry: Im-3m (229)
crystal system: cubic
final energy: -150.65 eV for the cell shown
formation energy from the elements: 0.04 eV/atom

Material: InCo2
Method: DFT, SCAN
State: PBEsol geometry

a = 4.074 Å, b = 4.074 Å, c = 2.829 Å
α = 90.00°, β = 90.00°, γ = 120.00°
Atoms (fractional coordinates):
In 0.000 0.000 0.000
Co 0.333 0.667 0.500
Co 0.667 0.333 0.500

Output
size of the total moment: 3.32 Bohr magnetons per cell
N(E_F): 1.01 states/eV per atom
symmetry: P6/mmm (191)
crystal system: hexagonal
final energy: -66.99 eV for the cell shown
formation energy from the elements: 0.34 eV/atom

Material: InCo
Method: DFT, SCAN
State: PBEsol geometry

a = 3.601 Å, b = 3.601 Å, c = 3.601 Å
α = 60.00°, β = 60.00°, γ = 60.00°
Atoms (fractional coordinates):
In 0.000 0.000 0.000
Co 0.500 0.500 0.500

Output
size of the total moment: 0.92 Bohr magnetons per cell
N(E_F): 2.09 states/eV per atom
symmetry: Fm-3m (225)
crystal system: cubic
final energy: -49.14 eV for the cell shown
formation energy from the elements: 0.78 eV/atom

Material: In3Co
Method: DFT, SCAN
State: PBEsol geometry

a = 6.754 Å, b = 6.754 Å, c = 6.981 Å
α = 90.00°, β = 90.00°, γ = 90.00°
Atoms (fractional coordinates):
In 0.000 0.500 0.000
In 0.000 0.500 0.500
In 0.154 0.154 0.244
In 0.154 0.154 0.756
In 0.346 0.654 0.256
In 0.346 0.654 0.744
In 0.500 0.000 0.000
In 0.500 0.000 0.500
In 0.654 0.346 0.256
In 0.654 0.346 0.744
In 0.846 0.846 0.244
In 0.846 0.846 0.756
Co 0.150 0.850 0.000
Co 0.350 0.350 0.500
Co 0.650 0.650 0.500
Co 0.850 0.150 0.000

Output
size of the total moment: 0.00 Bohr magnetons per cell
N(E_F): 0.27 states/eV per atom
symmetry: P4_2/mnm (136)
crystal system: tetragonal
final energy: -469.53 eV for the cell shown
formation energy from the elements: 0.02 eV/atom

Material: InCo2Ir
Method: DFT, SCAN
State: PBEsol geometry

a = 5.020 Å, b = 5.020 Å, c = 5.020 Å
α = 145.47°, β = 128.52°, γ = 63.47°
Atoms (fractional coordinates):
In 0.000 0.000 0.000
Co 0.253 0.753 0.500
Co 0.747 0.247 0.500
Ir 0.500 0.500 0.000

Output
size of the total moment: 4.15 Bohr magnetons per cell
N(E_F): 0.67 states/eV per atom
symmetry: Immm (71)
crystal system: orthorhombic
final energy: -138.49 eV for the cell shown
formation energy from the elements: 0.15 eV/atom

Material: In2CoIr
Method: DFT, SCAN
State: PBEsol geometry

a = 9.102 Å, b = 9.102 Å, c = 9.102 Å
α = 18.68°, β = 18.68°, γ = 18.68°
Atoms (fractional coordinates):
In 0.000 0.000 0.000
In 0.230 0.230 0.230
Co 0.744 0.744 0.744
Ir 0.480 0.480 0.480

Output
size of the total moment: 1.98 Bohr magnetons per cell
N(E_F): 0.86 states/eV per atom
symmetry: R3m (160)
crystal system: trigonal
final energy: -153.72 eV for the cell shown
formation energy from the elements: 0.36 eV/atom

Material: In2CoIr
Method: DFT, SCAN
State: PBEsol geometry

a = 5.090 Å, b = 5.090 Å, c = 5.090 Å
α = 135.38°, β = 135.38°, γ = 64.94°
Atoms (fractional coordinates):
In 0.000 0.000 0.000
In 0.750 0.250 0.500
Co 0.250 0.750 0.500
Ir 0.500 0.500 0.000

Output
size of the total moment: 1.78 Bohr magnetons per cell
N(E_F): 0.33 states/eV per atom
symmetry: I-4m2 (119)
crystal system: tetragonal
final energy: -154.56 eV for the cell shown
formation energy from the elements: 0.15 eV/atom

Material: InCoIr
Method: DFT, SCAN
State: PBEsol geometry

a = 4.224 Å, b = 4.224 Å, c = 4.224 Å
α = 60.00°, β = 60.00°, γ = 60.00°
Atoms (fractional coordinates):
In 0.000 0.000 0.000
Co 0.500 0.500 0.500
Ir 0.250 0.250 0.250

Output
size of the total moment: 2.37 Bohr magnetons per cell
N(E_F): 0.64 states/eV per atom
symmetry: F-43m (216)
crystal system: cubic
final energy: -121.28 eV for the cell shown
formation energy from the elements: 0.17 eV/atom

Material: InCoIr3
Method: DFT, SCAN
State: PBEsol geometry

a = 4.755 Å, b = 4.755 Å, c = 4.755 Å
α = 90.00°, β = 90.00°, γ = 90.00°
Atoms (fractional coordinates):
In 0.000 0.000 0.000
Co 0.500 0.500 0.500
Ir 0.000 0.000 0.500
Ir 0.000 0.500 0.000
Ir 0.500 0.000 0.000

Output
size of the total moment: 4.85 Bohr magnetons per cell
N(E_F): 0.88 states/eV per atom
symmetry: Pm-3m (221)
crystal system: cubic
final energy: -251.27 eV for the cell shown
formation energy from the elements: 2.54 eV/atom

Material: InCoIr
Method: DFT, SCAN
State: PBEsol geometry

a = 4.107 Å, b = 4.107 Å, c = 4.107 Å
α = 60.00°, β = 60.00°, γ = 60.00°
Atoms (fractional coordinates):
In 0.000 0.000 0.000
Co 0.250 0.250 0.250
Ir 0.500 0.500 0.500

Output
size of the total moment: 2.33 Bohr magnetons per cell
N(E_F): 0.63 states/eV per atom
symmetry: F-43m (216)
crystal system: cubic
final energy: -120.99 eV for the cell shown
formation energy from the elements: 0.27 eV/atom